[1]
Compound: Li2GeBPd6
Source: the Alexandria database
Functional: PBE
Structure: relaxed

Output
The value obtained for the total DFT energy (no corrections) is -5.017 eV/atom. The value obtained for the formation energy is -3.9 eV/f.u.

a = 6.456 Å, b = 5.611 Å, c = 6.897 Å
α = 48.13°, β = 61.61°, γ = 85.86°
Fractional positions:
Li (0.873, 0.289, 0.489)
Li (0.127, 0.711, 0.511)
Ge (0.000, 0.000, 0.000)
B (0.500, 0.500, 0.000)
Pd (0.299, 0.143, 0.501)
Pd (0.802, 0.629, 0.001)
Pd (0.368, 0.854, 0.981)
Pd (0.632, 0.146, 0.019)
Pd (0.198, 0.371, 0.999)
Pd (0.701, 0.857, 0.499)

***

[2]
Compound: Li2GeB2Pt5
Source: the Alexandria database
Functional: PBE
Structure: relaxed

Output
The value obtained for the total DFT energy (no corrections) is -5.692 eV/atom. The value obtained for the formation energy is -4.9 eV/f.u.

a = 3.138 Å, b = 9.298 Å, c = 9.298 Å
α = 90.00°, β = 90.00°, γ = 90.00°
Fractional positions:
Li (0.000, 0.673, 0.173)
Li (0.000, 0.327, 0.827)
Li (0.000, 0.173, 0.327)
Li (0.000, 0.827, 0.673)
Ge (0.000, 0.000, 0.000)
Ge (0.000, 0.500, 0.500)
B (0.000, 0.126, 0.626)
B (0.000, 0.874, 0.374)
B (0.000, 0.626, 0.874)
B (0.000, 0.374, 0.126)
Pt (0.500, 0.215, 0.075)
Pt (0.500, 0.785, 0.925)
Pt (0.500, 0.075, 0.785)
Pt (0.500, 0.715, 0.425)
Pt (0.500, 0.925, 0.215)
Pt (0.500, 0.285, 0.575)
Pt (0.500, 0.575, 0.715)
Pt (0.500, 0.425, 0.285)
Pt (0.500, 0.500, 0.000)
Pt (0.500, 0.000, 0.500)

***

[3]
Compound: Li2GeB2Rh5
Source: the Alexandria database
Functional: PBE
Structure: relaxed

Output
The value obtained for the total DFT energy (no corrections) is -6.368 eV/atom. The value obtained for the formation energy is -5.1 eV/f.u.

a = 2.872 Å, b = 9.349 Å, c = 9.349 Å
α = 90.00°, β = 90.00°, γ = 90.00°
Fractional positions:
Li (0.000, 0.674, 0.174)
Li (0.000, 0.326, 0.826)
Li (0.000, 0.174, 0.326)
Li (0.000, 0.826, 0.674)
Ge (0.000, 0.000, 0.000)
Ge (0.000, 0.500, 0.500)
B (0.000, 0.126, 0.626)
B (0.000, 0.874, 0.374)
B (0.000, 0.626, 0.874)
B (0.000, 0.374, 0.126)
Rh (0.500, 0.213, 0.071)
Rh (0.500, 0.787, 0.929)
Rh (0.500, 0.071, 0.787)
Rh (0.500, 0.713, 0.429)
Rh (0.500, 0.929, 0.213)
Rh (0.500, 0.287, 0.571)
Rh (0.500, 0.571, 0.713)
Rh (0.500, 0.429, 0.287)
Rh (0.500, 0.500, 0.000)
Rh (0.500, 0.000, 0.500)

***

[4]
Compound: LiGe2BS6
Source: the Alexandria database
Functional: PBE
Structure: relaxed

Output
The value obtained for the total DFT energy (no corrections) is -4.633 eV/atom. For the uncorrected formation energy, the calculation gives -0.3736 eV per atom.

a = 6.532 Å, b = 8.663 Å, c = 8.663 Å
α = 86.94°, β = 71.96°, γ = 71.96°
Fractional positions:
Li (0.250, 0.900, 0.100)
Li (0.750, 0.100, 0.900)
Ge (0.355, 0.792, 0.613)
Ge (0.145, 0.387, 0.208)
Ge (0.645, 0.208, 0.387)
Ge (0.855, 0.613, 0.792)
B (0.250, 0.193, 0.807)
B (0.750, 0.807, 0.193)
S (0.170, 0.992, 0.813)
S (0.330, 0.187, 0.008)
S (0.830, 0.008, 0.187)
S (0.670, 0.813, 0.992)
S (0.457, 0.821, 0.340)
S (0.043, 0.660, 0.179)
S (0.543, 0.179, 0.660)
S (0.957, 0.340, 0.821)
S (0.066, 0.712, 0.582)
S (0.434, 0.418, 0.288)
S (0.934, 0.288, 0.418)
S (0.566, 0.582, 0.712)

***

[5]
Compound: Li2GeBSb
Source: the Alexandria database
Functional: PBE
Structure: relaxed

Output
The value obtained for the total DFT energy (no corrections) is -2.850 eV/atom. For the uncorrected formation energy, the calculation gives 0.9991 eV per atom.

a = 4.739 Å, b = 5.366 Å, c = 4.739 Å
α = 90.00°, β = 90.00°, γ = 90.00°
Fractional positions:
Sb (0.000, 0.500, 0.000)
Ge (0.000, 0.000, 0.000)
B (0.500, 0.500, 0.500)
Li (0.000, 0.000, 0.500)
Li (0.500, 0.000, 0.000)

***

[6]
Compound: Sr2LiGeB
Source: the Alexandria database
Functional: PBE
Structure: relaxed

Output
As for the energy above the lowest structure with this stoichiometry: 0.000 eV/atom. The value obtained for the total DFT energy (no corrections) is -2.668 eV/atom. The value obtained for the formation energy is 3.2 eV/f.u.

a = 5.972 Å, b = 4.705 Å, c = 5.972 Å
α = 90.00°, β = 90.00°, γ = 90.00°
Site moments in Bohr magnetons follow the coordinates.
Fractional positions:
Sr (0.000, 0.000, 0.500)  0.05
Sr (0.500, 0.000, 0.000)  0.06
Ge (0.000, 0.000, 0.000)  0.02
B (0.500, 0.500, 0.500)  0.51
Li (0.000, 0.500, 0.000)  0.00

***

[7]
Compound: Li2GeBTe
Source: the Alexandria database
Functional: PBE
Structure: relaxed

Output
The value obtained for the total DFT energy (no corrections) is -2.696 eV/atom. For the uncorrected formation energy, the calculation gives 0.9565 eV per atom.

a = 4.778 Å, b = 5.389 Å, c = 4.778 Å
α = 90.00°, β = 90.00°, γ = 90.00°
Fractional positions:
Ge (0.000, 0.000, 0.000)
Te (0.000, 0.500, 0.000)
B (0.500, 0.500, 0.500)
Li (0.000, 0.000, 0.500)
Li (0.500, 0.000, 0.000)

***

[8]
Compound: LiTiGeB2
Source: the Alexandria database
Functional: PBE
Structure: relaxed

Output
The value obtained for the total DFT energy (no corrections) is -4.604 eV/atom. The value obtained for the formation energy is 4.8 eV/f.u.

a = 4.277 Å, b = 4.796 Å, c = 4.277 Å
α = 90.00°, β = 90.00°, γ = 90.00°
Fractional positions:
Ge (0.000, 0.500, 0.000)
B (0.000, 0.000, 0.500)
B (0.500, 0.000, 0.000)
Li (0.500, 0.500, 0.500)
Ti (0.000, 0.000, 0.000)

***

[9]
Compound: LuGeB
Source: the Alexandria database
Functional: PBE
Structure: relaxed

Output
The value obtained for the total DFT energy (no corrections) is -5.711 eV/atom. The value obtained for the formation energy is -1.3 eV/f.u.

a = 4.246 Å, b = 3.573 Å, c = 3.573 Å
α = 120.00°, β = 90.00°, γ = 90.00°
Fractional positions:
Ge (0.220, 0.333, 0.667)
Lu (0.706, 0.667, 0.333)
B (0.074, 0.000, 0.000)

***

[10]
Compound: Mg2GeB
Source: the Alexandria database
Functional: PBE
Structure: relaxed

Output
As for the energy above the lowest structure with this stoichiometry: 0.000 eV/atom. The value obtained for the total DFT energy (no corrections) is -3.570 eV/atom. The value obtained for the formation energy is 0.2 eV/f.u.

a = 8.453 Å, b = 3.669 Å, c = 10.993 Å
α = 90.00°, β = 124.89°, γ = 90.00°
Fractional positions:
Ge (0.212, 0.000, 0.201)
Ge (0.788, 0.000, 0.799)
Ge (0.212, 0.500, 0.701)
Ge (0.788, 0.500, 0.299)
B (0.388, 0.000, 0.435)
B (0.612, 0.000, 0.565)
B (0.388, 0.500, 0.935)
B (0.612, 0.500, 0.065)
Mg (0.094, 0.000, 0.413)
Mg (0.906, 0.000, 0.587)
Mg (0.094, 0.500, 0.913)
Mg (0.906, 0.500, 0.087)
Mg (0.536, 0.000, 0.886)
Mg (0.464, 0.000, 0.114)
Mg (0.536, 0.500, 0.386)
Mg (0.464, 0.500, 0.614)

***

[11]
Compound: MgGeB
Source: the Alexandria database
Functional: PBE
Structure: relaxed

Output
The value obtained for the total DFT energy (no corrections) is -4.048 eV/atom. The value obtained for the formation energy is 0.7 eV/f.u.

a = 3.494 Å, b = 3.494 Å, c = 9.475 Å
α = 79.38°, β = 79.38°, γ = 60.00°
Fractional positions:
Mg (0.379, 0.379, 0.863)
Mg (0.621, 0.621, 0.137)
Ge (0.212, 0.212, 0.365)
Ge (0.788, 0.788, 0.635)
B (0.108, 0.108, 0.677)
B (0.892, 0.892, 0.323)

***

[12]
Compound: Mg2GeB
Source: the Alexandria database
Functional: PBE
Structure: relaxed

Output
As for the energy above the lowest structure with this stoichiometry: 0.032 eV/atom. The value obtained for the total DFT energy (no corrections) is -3.538 eV/atom. The value obtained for the formation energy is 0.3 eV/f.u.

a = 3.635 Å, b = 5.768 Å, c = 7.352 Å
α = 93.88°, β = 104.14°, γ = 108.47°
Fractional positions:
Ge (0.265, 0.369, 0.181)
Ge (0.282, 0.965, 0.616)
B (0.334, 0.674, 0.013)
B (0.222, 0.677, 0.784)
Mg (0.010, 0.787, 0.254)
Mg (0.916, 0.350, 0.499)
Mg (0.628, 0.413, 0.861)
Mg (0.921, 0.955, 0.904)

***

[13]
Compound: MgGe2B
Source: the Alexandria database
Functional: PBE
Structure: relaxed

Output
As for the energy above the lowest structure with this stoichiometry: 0.456 eV/atom. The value obtained for the total DFT energy (no corrections) is -3.531 eV/atom. The value obtained for the formation energy is 3.4 eV/f.u.

a = 4.528 Å, b = 4.528 Å, c = 4.528 Å
α = 60.00°, β = 60.00°, γ = 60.00°
Fractional positions:
Ge (0.250, 0.250, 0.250)
Ge (0.750, 0.750, 0.750)
B (0.000, 0.000, 0.000)
Mg (0.500, 0.500, 0.500)

***

[14]
Compound: MgGe2B
Source: the Alexandria database
Functional: PBE
Structure: relaxed

Output
As for the energy above the lowest structure with this stoichiometry: 0.000 eV/atom. The value obtained for the total DFT energy (no corrections) is -3.986 eV/atom. The value obtained for the formation energy is 1.6 eV/f.u.

a = 5.898 Å, b = 5.898 Å, c = 6.161 Å
α = 61.40°, β = 61.40°, γ = 90.00°
Fractional positions:
Ge (0.531, 0.125, 0.250)
Ge (0.219, 0.625, 0.250)
Ge (0.375, 0.469, 0.750)
Ge (0.875, 0.781, 0.750)
B (0.500, 0.500, 0.000)
B (0.250, 0.750, 0.500)
Mg (0.000, 0.000, 0.000)
Mg (0.750, 0.250, 0.500)

***

[15]
Compound: MgGeB3
Source: the Alexandria database
Functional: PBE
Structure: relaxed

Output
As for the energy above the lowest structure with this stoichiometry: 0.597 eV/atom. The value obtained for the total DFT energy (no corrections) is -2.984 eV/atom. The value obtained for the formation energy is 11.3 eV/f.u.

a = 4.327 Å, b = 4.327 Å, c = 4.327 Å
α = 90.00°, β = 90.00°, γ = 90.00°
Fractional positions:
Ge (0.500, 0.500, 0.500)
B (0.000, 0.500, 0.000)
B (0.000, 0.000, 0.500)
B (0.500, 0.000, 0.000)
Mg (0.000, 0.000, 0.000)

***

[16]
Compound: Mg2GeB
Source: the Alexandria database
Functional: PBE
Structure: relaxed

Output
As for the energy above the lowest structure with this stoichiometry: 0.063 eV/atom. The value obtained for the total DFT energy (no corrections) is -3.507 eV/atom. The value obtained for the formation energy is 0.5 eV/f.u.

a = 3.490 Å, b = 3.491 Å, c = 6.689 Å
α = 90.01°, β = 90.14°, γ = 120.01°
Fractional positions:
Ge (0.469, 0.637, 0.731)
B (0.136, 0.971, 0.810)
Mg (0.134, 0.969, 0.418)
Mg (0.803, 0.304, 0.046)

***

[17]
Compound: Mg2GeB
Source: the Alexandria database
Functional: PBE
Structure: relaxed

Output
As for the energy above the lowest structure with this stoichiometry: 0.082 eV/atom. The value obtained for the total DFT energy (no corrections) is -3.488 eV/atom. The value obtained for the formation energy is 0.5 eV/f.u.

a = 4.554 Å, b = 4.982 Å, c = 6.175 Å
α = 79.10°, β = 89.16°, γ = 87.22°
Fractional positions:
Ge (0.971, 0.319, 0.832)
Ge (0.997, 0.136, 0.472)
B (0.596, 0.549, 0.895)
B (0.504, 0.692, 0.105)
Mg (0.487, 0.013, 0.760)
Mg (0.492, 0.591, 0.497)
Mg (0.488, 0.170, 0.195)
Mg (0.001, 0.721, 0.133)

***

[18]
Compound: Mg2GeB
Source: the Alexandria database
Functional: PBE
Structure: relaxed

Output
As for the energy above the lowest structure with this stoichiometry: 0.444 eV/atom. The value obtained for the total DFT energy (no corrections) is -3.126 eV/atom. The value obtained for the formation energy is 2.0 eV/f.u.

a = 4.497 Å, b = 4.497 Å, c = 4.497 Å
α = 60.00°, β = 60.00°, γ = 60.00°
Fractional positions:
Ge (0.500, 0.500, 0.500)
B (0.000, 0.000, 0.000)
Mg (0.250, 0.250, 0.250)
Mg (0.750, 0.750, 0.750)

***

[19]
Compound: Mg2GeB
Source: the Alexandria database
Functional: PBE
Structure: relaxed

Output
As for the energy above the lowest structure with this stoichiometry: 0.035 eV/atom. The value obtained for the total DFT energy (no corrections) is -3.535 eV/atom. The value obtained for the formation energy is 0.3 eV/f.u.

a = 4.634 Å, b = 6.009 Å, c = 6.204 Å
α = 114.51°, β = 93.15°, γ = 111.52°
Fractional positions:
Ge (0.517, 0.231, 0.699)
Ge (0.483, 0.769, 0.301)
B (0.390, 0.016, 0.908)
B (0.610, 0.984, 0.092)
Mg (0.861, 0.932, 0.745)
Mg (0.139, 0.068, 0.255)
Mg (0.166, 0.546, 0.786)
Mg (0.834, 0.454, 0.214)

***

[20]
Compound: Mg2GeB
Source: the Alexandria database
Functional: PBE
Structure: relaxed

Output
As for the energy above the lowest structure with this stoichiometry: 0.014 eV/atom. The value obtained for the total DFT energy (no corrections) is -3.556 eV/atom. The value obtained for the formation energy is 0.3 eV/f.u.

a = 4.437 Å, b = 5.510 Å, c = 6.571 Å
α = 95.42°, β = 91.47°, γ = 105.52°
Fractional positions:
Ge (0.283, 0.146, 0.284)
Ge (0.717, 0.854, 0.716)
B (0.390, 0.417, 0.073)
B (0.610, 0.583, 0.927)
Mg (0.670, 0.792, 0.311)
Mg (0.330, 0.208, 0.689)
Mg (0.816, 0.229, 0.040)
Mg (0.184, 0.771, 0.960)